No. 1
VASP calculation (PBE) on a relaxed NdY2ThAs4 crystal.

Summary:
Space group: P2/m (10)
Energy relative to the elements in eV/f.u.: -12.2

Lattice parameters (Å, degrees): 4.2025 7.2436 7.2717 70.51 90.00 90.00
Atoms (fractional coordinates):
Nd 0.5000 0.5000 0.0000
Y 0.0000 0.0000 0.0000
Y 0.5000 0.0000 0.5000
Th 0.0000 0.5000 0.5000
As 0.0000 0.7574 0.7456
As 0.0000 0.2426 0.2544
As 0.5000 0.7571 0.2490
As 0.5000 0.2429 0.7510

=====

No. 2
VASP calculation (PBE) on a relaxed Na2ScAsPt crystal.

Summary:
Space group: P4/mmm (123)
Energy above the most stable polymorph in this dataset in meV per atom: 520.7
Energy relative to the elements in eV/f.u.: 3.5

Lattice parameters (Å, degrees): 5.7901 4.6336 5.7901 90.00 90.00 90.00
Atoms (fractional coordinates):
Sc 0.0000 0.0000 0.0000
Na 0.0000 0.0000 0.5000
Na 0.5000 0.0000 0.0000
As 0.5000 0.5000 0.5000
Pt 0.0000 0.5000 0.0000

=====

No. 3
VASP calculation (PBE) on a relaxed ScTe3H crystal.

Summary:
Space group: Pm-3m (221)
Energy above the most stable polymorph in this dataset in meV per atom: 0.0

Lattice parameters (Å, degrees): 4.8008 4.8008 4.8008 90.00 90.00 90.00
Atoms (fractional coordinates):
Sc 0.5000 0.5000 0.5000
H 0.0000 0.0000 0.0000
Te 0.0000 0.5000 0.0000
Te 0.0000 0.0000 0.5000
Te 0.5000 0.0000 0.0000

=====

No. 4
VASP calculation (PBE) on a relaxed Mn2HgPd6 crystal.

Summary:
Space group: C2/c (15)
Energy relative to the elements in eV/f.u.: -1.2

Lattice parameters (Å, degrees): 4.8021 7.9953 7.9953 72.10 82.90 82.90
Atoms (fractional coordinates):
Mn 0.4105 0.5429 0.7914
Mn 0.0895 0.2086 0.4571
Mn 0.5895 0.4571 0.2086
Mn 0.9105 0.7914 0.5429
Hg 0.2500 0.1238 0.8762
Hg 0.7500 0.8762 0.1238
Pd 0.4732 0.6757 0.4423
Pd 0.0268 0.5577 0.3243
Pd 0.5268 0.3243 0.5577
Pd 0.9732 0.4423 0.6757
Pd 0.6483 0.1032 0.3500
Pd 0.8517 0.6500 0.8968
Pd 0.3517 0.8968 0.6500
Pd 0.1483 0.3500 0.1032
Pd 0.3053 0.7454 0.0175
Pd 0.1947 0.9825 0.2546
Pd 0.6947 0.2546 0.9825
Pd 0.8053 0.0175 0.7454

=====

No. 5
VASP calculation (PBE) on a relaxed BaTcAu2 crystal.

Summary:
Space group: I-4m2 (119)
Energy above the most stable polymorph in this dataset in meV per atom: 413.6
Energy relative to the elements in eV/f.u.: 1.9

Lattice parameters (Å, degrees): 5.7435 5.7435 5.7435 134.65 134.65 66.07
Atoms (fractional coordinates):
Au 0.0000 0.0000 0.0000
Au 0.2500 0.7500 0.5000
Ba 0.5000 0.5000 0.0000
Tc 0.7500 0.2500 0.5000

=====

No. 6
VASP calculation (PBE) on a relaxed Zr2TaSbCl crystal.

Summary:
Space group: P4/mmm (123)
Formation energy without anion corrections in meV/atom: 587.1

Lattice parameters (Å, degrees): 4.6548 5.3751 4.6548 90.00 90.00 90.00
Atoms (fractional coordinates):
Sb 0.0000 0.5000 0.0000
Cl 0.0000 0.0000 0.0000
Zr 0.0000 0.0000 0.5000
Zr 0.5000 0.0000 0.0000
Ta 0.5000 0.5000 0.5000

=====

No. 7
VASP calculation (PBE) on a relaxed Nd5Er6Sc crystal.

Summary:
Space group: Immm (71)
Energy relative to the elements in eV/f.u.: 0.4

Lattice parameters (Å, degrees): 5.0475 10.0226 9.4250 122.12 105.53 90.01
Atoms (fractional coordinates):
Sc 0.0000 0.0000 0.0000
Nd 0.6630 0.1629 0.3258
Nd 0.3336 0.3337 0.6672
Nd 0.0000 0.5000 0.0000
Nd 0.6664 0.6663 0.3328
Nd 0.3370 0.8371 0.6742
Er 0.8349 0.5877 0.6697
Er 0.8349 0.0820 0.6696
Er 0.5000 0.7546 0.0000
Er 0.5000 0.2454 0.0000
Er 0.1651 0.9180 0.3305
Er 0.1651 0.4123 0.3303

=====

No. 8
VASP calculation (PBE) on a relaxed Pr6Y2Tl crystal.

Summary:
Space group: Ibam (72)
Energy above the most stable polymorph in this dataset in meV per atom: 0.0
Energy relative to the elements in eV/f.u.: -0.2

Lattice parameters (Å, degrees): 6.5670 11.5120 11.5120 47.51 106.55 106.55
Atoms (fractional coordinates):
Pr 0.7127 0.5077 0.6516
Pr 0.7873 0.3484 0.4923
Pr 0.2873 0.4923 0.3484
Pr 0.2127 0.6516 0.5077
Pr 0.9186 0.9186 0.4182
Pr 0.5814 0.5818 0.0814
Pr 0.0814 0.0814 0.5818
Pr 0.4186 0.4182 0.9186
Pr 0.0535 0.8480 0.9925
Pr 0.4465 0.0074 0.1520
Pr 0.9465 0.1520 0.0075
Pr 0.5535 0.9926 0.8480
Y 0.5890 0.8263 0.6734
Y 0.9110 0.3266 0.1737
Y 0.4110 0.1737 0.3266
Y 0.0890 0.6734 0.8263
Tl 0.2500 0.2499 0.7501
Tl 0.7500 0.7501 0.2499

=====

No. 9
VASP calculation (PBE) on a relaxed NdHgTe2 crystal.

Summary:
Space group: R3m (160)
Formation energy without anion corrections in meV/atom: -773.5
Energy above the most stable polymorph in this dataset in meV per atom: 0.0

Lattice parameters (Å, degrees): 4.5299 4.5299 8.2312 74.03 74.03 60.00
Atoms (fractional coordinates):
Nd 0.6655 0.6655 0.0034
Hg 0.4995 0.4995 0.5014
Te 0.0781 0.0781 0.7658
Te 0.2569 0.2569 0.2294

=====

No. 10
VASP calculation (PBE) on a relaxed Li4CdIn10 crystal.

Summary:
Space group: I4/m (87)
Energy relative to the elements in eV/f.u.: -0.7

Lattice parameters (Å, degrees): 6.9182 8.0558 8.0558 79.38 64.57 64.57
Atoms (fractional coordinates):
Li 0.3921 0.7991 0.4167
Li 0.8088 0.5833 0.7991
Li 0.1912 0.4167 0.2009
Li 0.6079 0.2009 0.5833
Cd 0.0000 0.0000 0.0000
In 0.2500 0.5000 0.5000
In 0.6278 0.3063 0.8939
In 0.0660 0.1061 0.3063
In 0.4784 0.8939 0.6937
In 0.8279 0.6937 0.1061
In 0.3722 0.6937 0.1061
In 0.7500 0.5000 0.5000
In 0.1721 0.3063 0.8939
In 0.5216 0.1061 0.3063
In 0.9340 0.8939 0.6937

=====

No. 11
VASP calculation (PBE) on a relaxed La2AlBiIr crystal.

Summary:
Space group: P4/mmm (123)
Energy relative to the elements in eV/f.u.: -3.8

Lattice parameters (Å, degrees): 5.5845 5.5845 4.8148 90.00 90.00 90.00
Atoms (fractional coordinates):
Al 0.0000 0.0000 0.5000
Ir 0.0000 0.0000 0.0000
Bi 0.5000 0.5000 0.5000
La 0.0000 0.5000 0.0000
La 0.5000 0.0000 0.0000

=====

No. 12
VASP calculation (PBE) on a relaxed PmScAgAu crystal.

Summary:
Space group: P4mm (99)
Energy above the most stable polymorph in this dataset in meV per atom: 0.0
Energy relative to the elements in eV/f.u.: -2.1

Lattice parameters (Å, degrees): 3.5097 3.5097 7.3193 90.00 90.00 90.00
Atoms (fractional coordinates):
Pm 0.5000 0.5000 0.6021
Sc 0.5000 0.5000 0.1135
Ag 0.0000 0.0000 0.8920
Au 0.0000 0.0000 0.3203

=====

No. 13
VASP calculation (PBE) on a relaxed LaTb3YSc crystal.

Summary:
Space group: P2_1/m (11)
Energy relative to the elements in eV/f.u.: 0.2

Lattice parameters (Å, degrees): 3.5791 9.4917 11.9141 110.49 90.00 90.00
Atoms (fractional coordinates):
La 0.2500 0.1321 0.6333
La 0.7500 0.8679 0.3667
Tb 0.2500 0.5658 0.4005
Tb 0.7500 0.9254 0.0937
Tb 0.7500 0.3246 0.1506
Tb 0.7500 0.4342 0.5995
Tb 0.2500 0.6754 0.8494
Tb 0.2500 0.0746 0.9063
Y 0.7500 0.8163 0.6560
Y 0.2500 0.1837 0.3440
Sc 0.2500 0.6167 0.1155
Sc 0.7500 0.3833 0.8845

=====

No. 14
VASP calculation (PBE) on a relaxed Ba4CdTc crystal.

Summary:
Space group: F-43m (216)
Energy relative to the elements in eV/f.u.: 6.1

Lattice parameters (Å, degrees): 7.1376 7.1376 7.1376 60.00 60.00 60.00
Atoms (fractional coordinates):
Ba 0.8764 0.3746 0.3746
Ba 0.3746 0.3746 0.8764
Ba 0.3746 0.8764 0.3746
Ba 0.3746 0.3746 0.3746
Cd 0.7500 0.7500 0.7500
Tc 0.0000 0.0000 0.0000

=====

No. 15
VASP calculation (PBE) on a relaxed Ce2Bi2N crystal.

Summary:
Space group: C2/m (12)
Formation energy without anion corrections in meV/atom: -968.6
Energy above the most stable polymorph in this dataset in meV per atom: 0.0

Lattice parameters (Å, degrees): 4.1654 6.9900 10.0237 83.58 78.01 72.67
Atoms (fractional coordinates):
Ce 0.1220 0.1820 0.5741
Ce 0.6756 0.8371 0.8118
Ce 0.8780 0.8180 0.4259
Ce 0.3244 0.1629 0.1882
Bi 0.6044 0.4572 0.3341
Bi 0.9391 0.2062 0.9156
Bi 0.3956 0.5428 0.6659
Bi 0.0609 0.7938 0.0844
N 0.6892 0.0084 0.6133
N 0.3108 0.9916 0.3867

=====

No. 16
VASP calculation (PBE) on a relaxed AcThS2 crystal.

Summary:
Space group: P6_3/mmc (194)
Formation energy without anion corrections in meV/atom: -1858.9
Energy above the most stable polymorph in this dataset in meV per atom: 37.2

Lattice parameters (Å, degrees): 4.0992 4.0992 14.1648 90.00 90.00 120.00
Atoms (fractional coordinates):
Ac 0.6667 0.3333 0.2500
Ac 0.3333 0.6667 0.7500
Th 0.0000 0.0000 0.5000
Th 0.0000 0.0000 0.0000
S 0.3333 0.6667 0.3837
S 0.6667 0.3333 0.8837
S 0.6667 0.3333 0.6163
S 0.3333 0.6667 0.1163

=====

No. 17
VASP calculation (PBE) on a relaxed Sr2Te2Pd crystal.

Summary:
Space group: I4/mmm (139)
Formation energy without anion corrections in meV/atom: -1062.3
Energy above the most stable polymorph in this dataset in meV per atom: 0.0

Lattice parameters (Å, degrees): 6.4427 6.4427 6.4857 60.22 60.22 90.00
Atoms (fractional coordinates):
Sr 0.7500 0.2500 0.5000
Sr 0.2500 0.7500 0.5000
Te 0.2838 0.2838 0.4324
Te 0.7162 0.7162 0.5676
Pd 0.0000 0.0000 0.0000

=====

No. 18
VASP calculation (PBE) on a relaxed HfPaVW crystal.

Summary:
Space group: F-43m (216)
Energy relative to the elements in eV/f.u.: 0.5

Lattice parameters (Å, degrees): 4.7620 4.7620 4.7620 60.00 60.00 60.00
Atoms (fractional coordinates):
Pa 0.7500 0.7500 0.7500
Hf 0.2500 0.2500 0.2500
W 0.0000 0.0000 0.0000
V 0.5000 0.5000 0.5000

=====

No. 19
VASP calculation (PBE) on a relaxed PrSbHIr crystal.

Summary:
Space group: P6_3mc (186)

Lattice parameters (Å, degrees): 4.2492 4.2492 10.5105 90.00 90.00 120.00
Atoms (fractional coordinates):
Pr 0.6667 0.3333 0.7221
Pr 0.3333 0.6667 0.2221
Sb 0.3333 0.6667 0.9188
Sb 0.6667 0.3333 0.4188
H 0.0000 0.0000 0.1659
H 0.0000 0.0000 0.6659
Ir 0.0000 0.0000 0.5056
Ir 0.0000 0.0000 0.0056

=====

No. 20
VASP calculation (PBE) on a relaxed KCeZnF6 crystal.

Summary:
Space group: P-31c (163)
Formation energy without anion corrections in meV/atom: -3136.8

Lattice parameters (Å, degrees): 5.9703 5.9703 10.6324 90.00 90.00 120.00
Atoms (fractional coordinates):
K 0.0000 0.0000 0.0000
K 0.0000 0.0000 0.5000
Ce 0.3333 0.6667 0.2500
Ce 0.6667 0.3333 0.7500
Zn 0.6667 0.3333 0.2500
Zn 0.3333 0.6667 0.7500
F 0.6441 0.6147 0.1441
F 0.9706 0.3559 0.1441
F 0.3559 0.9706 0.6441
F 0.0294 0.6441 0.8559
F 0.3853 0.3559 0.3559
F 0.9706 0.6147 0.3559
F 0.6147 0.9706 0.8559
F 0.6441 0.0294 0.3559
F 0.0294 0.3853 0.6441
F 0.3853 0.0294 0.1441
F 0.6147 0.6441 0.6441
F 0.3559 0.3853 0.8559

=====

| no. | raw total energy (eV per atom) |
| --- | --- |
| 1 | -6.988 |
| 2 | -3.240 |
| 3 | -3.604 |
| 4 | -5.672 |
| 5 | -4.248 |
| 6 | -6.396 |
| 7 | -4.763 |
| 8 | -4.911 |
| 9 | -3.612 |
| 10 | -2.445 |
| 11 | -6.021 |
| 12 | -4.834 |
| 13 | -5.240 |
| 14 | -2.151 |
| 15 | -6.560 |
| 16 | -6.805 |
| 17 | -4.030 |
| 18 | -10.249 |
| 19 | -5.772 |
| 20 | -5.307 |